Entry 1:
# CrAsSe2

Crystalline CrAsSe2 at its relaxed geometry (PBE, Alexandria). Values from VASP.

Geometry as Quantum ESPRESSO input:
```
&SYSTEM
  ibrav = 0, nat = 4, ntyp = 3
/
ATOMIC_SPECIES
Cr 52.00 Cr.upf
As 74.92 As.upf
Se 78.96 Se.upf
CELL_PARAMETERS angstrom
1.623 0.937 8.333
-1.623 0.937 8.333
0.000 -1.875 8.333
ATOMIC_POSITIONS crystal
Cr 0.000 0.000 0.000
As 0.500 0.500 0.500
Se 0.270 0.270 0.270
Se 0.730 0.730 0.730
```

Calculated values
ΔE_f (raw): 0.0103 eV/atom
space group: R-3m

Entry 2:
# CrAsSe2

Crystalline CrAsSe2 at its relaxed geometry (PBE, Alexandria). Values from VASP.

Geometry as Quantum ESPRESSO input:
```
&SYSTEM
  ibrav = 0, nat = 4, ntyp = 3
/
ATOMIC_SPECIES
Cr 52.00 Cr.upf
As 74.92 As.upf
Se 78.96 Se.upf
CELL_PARAMETERS angstrom
1.443 0.833 13.312
-1.443 0.833 13.312
0.000 -1.666 13.312
ATOMIC_POSITIONS crystal
Cr 0.000 0.000 0.000
As 0.500 0.500 0.500
Se 0.061 0.061 0.061
Se 0.939 0.939 0.939
```

Calculated values
ΔE_f (raw): 0.5506 eV/atom
space group: R-3m

Entry 3:
# CrAsSe2

Crystalline CrAsSe2 at its relaxed geometry (PBE, Alexandria). Values from VASP.

Geometry as Quantum ESPRESSO input:
```
&SYSTEM
  ibrav = 0, nat = 4, ntyp = 3
/
ATOMIC_SPECIES
Cr 52.00 Cr.upf
As 74.92 As.upf
Se 78.96 Se.upf
CELL_PARAMETERS angstrom
1.585 0.915 8.826
-1.585 0.915 8.826
0.000 -1.830 8.826
ATOMIC_POSITIONS crystal
Cr 0.000 0.000 0.000
As 0.269 0.269 0.269
Se 0.523 0.523 0.523
Se 0.726 0.726 0.726
```

Calculated values
ΔE_f (raw): 0.0159 eV/atom
space group: R3m

Entry 4:
# CrAsSe2

Crystalline CrAsSe2 at its relaxed geometry (PBE, Alexandria). Values from VASP.

Geometry as Quantum ESPRESSO input:
```
&SYSTEM
  ibrav = 0, nat = 4, ntyp = 3
/
ATOMIC_SPECIES
Cr 52.00 Cr.upf
As 74.92 As.upf
Se 78.96 Se.upf
CELL_PARAMETERS angstrom
-1.680 2.130 5.850
1.680 -2.130 5.850
1.680 2.130 -5.850
ATOMIC_POSITIONS crystal
Cr 0.000 0.000 0.000
As 0.816 0.316 0.500
Se 0.155 0.655 0.500
Se 0.448 0.448 0.000
```

Calculated values
ΔE_f (raw): 0.0497 eV/atom
space group: Imm2

Entry 5:
# CrAsSe2

Crystalline CrAsSe2 at its relaxed geometry (PBE, Alexandria). Values from VASP.

Geometry as Quantum ESPRESSO input:
```
&SYSTEM
  ibrav = 0, nat = 4, ntyp = 3
/
ATOMIC_SPECIES
Cr 52.00 Cr.upf
As 74.92 As.upf
Se 78.96 Se.upf
CELL_PARAMETERS angstrom
2.859 0.000 0.000
0.000 2.859 0.000
0.000 0.000 10.209
ATOMIC_POSITIONS crystal
Cr 0.000 0.000 0.000
As 0.500 0.500 0.828
Se 0.000 0.000 0.480
Se 0.500 0.500 0.140
```

Calculated values
ΔE_f (raw): 0.0616 eV/atom
space group: P4mm

Entry 6:
# CrAsSe2

Crystalline CrAsSe2 at its relaxed geometry (PBE, Alexandria). Values from VASP.

Geometry as Quantum ESPRESSO input:
```
&SYSTEM
  ibrav = 0, nat = 4, ntyp = 3
/
ATOMIC_SPECIES
Cr 52.00 Cr.upf
As 74.92 As.upf
Se 78.96 Se.upf
CELL_PARAMETERS angstrom
2.875 0.000 0.000
0.000 2.875 0.000
0.000 0.000 10.316
ATOMIC_POSITIONS crystal
Cr 0.000 0.000 0.000
As 0.000 0.000 0.500
Se 0.500 0.500 0.148
Se 0.500 0.500 0.852
```

Calculated values
ΔE_f (raw): 0.1122 eV/atom
space group: P4/mmm

Entry 7:
# CrAsSe2

Crystalline CrAsSe2 at its relaxed geometry (PBE, Alexandria). Values from VASP.

Geometry as Quantum ESPRESSO input:
```
&SYSTEM
  ibrav = 0, nat = 4, ntyp = 3
/
ATOMIC_SPECIES
Cr 52.00 Cr.upf
As 74.92 As.upf
Se 78.96 Se.upf
CELL_PARAMETERS angstrom
2.342 -4.697 0.000
2.342 4.697 0.000
0.000 0.000 3.631
ATOMIC_POSITIONS crystal
Cr 0.000 0.000 0.000
As 0.500 0.500 0.000
Se 0.181 0.819 0.500
Se 0.819 0.181 0.500
```

Calculated values
ΔE_f (raw): -0.0506 eV/atom
space group: Cmmm

Entry 8:
# CrAsSe2

Crystalline CrAsSe2 at its relaxed geometry (PBE, Alexandria). Values from VASP.

Geometry as Quantum ESPRESSO input:
```
&SYSTEM
  ibrav = 0, nat = 4, ntyp = 3
/
ATOMIC_SPECIES
Cr 52.00 Cr.upf
As 74.92 As.upf
Se 78.96 Se.upf
CELL_PARAMETERS angstrom
-1.847 2.058 6.457
1.847 -2.058 6.457
1.847 2.058 -6.457
ATOMIC_POSITIONS crystal
Cr 0.000 0.000 0.000
As 0.500 0.500 0.000
Se 0.139 0.639 0.500
Se 0.861 0.361 0.500
```

Calculated values
ΔE_f (raw): -0.1208 eV/atom
space group: Immm

Entry 9:
# CrAsSe2

Crystalline CrAsSe2 at its relaxed geometry (PBE, Alexandria). Values from VASP.

Geometry as Quantum ESPRESSO input:
```
&SYSTEM
  ibrav = 0, nat = 4, ntyp = 3
/
ATOMIC_SPECIES
Cr 52.00 Cr.upf
As 74.92 As.upf
Se 78.96 Se.upf
CELL_PARAMETERS angstrom
3.638 0.000 0.000
0.000 3.655 0.000
0.000 0.000 7.553
ATOMIC_POSITIONS crystal
Cr 0.000 0.000 0.000
As 0.000 0.500 0.500
Se 0.500 0.000 0.500
Se 0.500 0.500 0.000
```

Calculated values
ΔE_f (raw): 0.1782 eV/atom
space group: Pmmm

Entry 10:
# CrAsSe2

Crystalline CrAsSe2 at its relaxed geometry (PBE, Alexandria). Values from VASP.

Geometry as Quantum ESPRESSO input:
```
&SYSTEM
  ibrav = 0, nat = 4, ntyp = 3
/
ATOMIC_SPECIES
Cr 52.00 Cr.upf
As 74.92 As.upf
Se 78.96 Se.upf
CELL_PARAMETERS angstrom
1.770 1.022 8.203
-1.770 1.022 8.203
0.000 -2.043 8.203
ATOMIC_POSITIONS crystal
Cr 0.000 0.000 0.000
As 0.500 0.500 0.500
Se 0.392 0.392 0.392
Se 0.608 0.608 0.608
```

Calculated values
ΔE_f (raw): -0.1395 eV/atom
space group: R-3m

Entry 11:
# CrAsSe2

Crystalline CrAsSe2 at its relaxed geometry (PBE, Alexandria). Values from VASP.

Geometry as Quantum ESPRESSO input:
```
&SYSTEM
  ibrav = 0, nat = 4, ntyp = 3
/
ATOMIC_SPECIES
Cr 52.00 Cr.upf
As 74.92 As.upf
Se 78.96 Se.upf
CELL_PARAMETERS angstrom
-1.827 1.827 6.885
1.827 -1.827 6.885
1.827 1.827 -6.885
ATOMIC_POSITIONS crystal
Cr 0.000 0.000 0.000
As 0.750 0.250 0.500
Se 0.250 0.750 0.500
Se 0.500 0.500 0.000
```

Calculated values
ΔE_f (raw): 0.1879 eV/atom
space group: I-4m2

Entry 12:
# CrAsSe2

Crystalline CrAsSe2 at its relaxed geometry (PBE, Alexandria). Values from VASP.

Geometry as Quantum ESPRESSO input:
```
&SYSTEM
  ibrav = 0, nat = 4, ntyp = 3
/
ATOMIC_SPECIES
Cr 52.00 Cr.upf
As 74.92 As.upf
Se 78.96 Se.upf
CELL_PARAMETERS angstrom
-2.730 2.730 2.707
2.730 -2.730 2.707
2.730 2.730 -2.707
ATOMIC_POSITIONS crystal
Cr 0.000 0.000 0.000
As 0.500 0.500 0.000
Se 0.000 0.500 0.500
Se 0.500 0.000 0.500
```

Calculated values
ΔE_f (raw): 0.0095 eV/atom
space group: I4/mmm

Entry 13:
# CrAsSe2

Crystalline CrAsSe2 at its relaxed geometry (PBE, Alexandria). Values from VASP.

Geometry as Quantum ESPRESSO input:
```
&SYSTEM
  ibrav = 0, nat = 8, ntyp = 3
/
ATOMIC_SPECIES
Cr 52.00 Cr.upf
As 74.92 As.upf
Se 78.96 Se.upf
CELL_PARAMETERS angstrom
-2.811 2.811 6.678
2.811 -2.811 6.678
2.811 2.811 -6.678
ATOMIC_POSITIONS crystal
Cr 0.000 0.000 0.000
Cr 0.750 0.250 0.500
As 0.250 0.750 0.500
As 0.500 0.500 0.000
Se 0.105 0.625 0.980
Se 0.375 0.355 0.480
Se 0.645 0.125 0.020
Se 0.875 0.895 0.520
```

Calculated values
ΔE_f (raw): 0.1211 eV/atom
space group: I-42d

Entry 14:
# CrAsSe2

Crystalline CrAsSe2 at its relaxed geometry (PBE, Alexandria). Values from VASP.

Geometry as Quantum ESPRESSO input:
```
&SYSTEM
  ibrav = 0, nat = 4, ntyp = 3
/
ATOMIC_SPECIES
Cr 52.00 Cr.upf
As 74.92 As.upf
Se 78.96 Se.upf
CELL_PARAMETERS angstrom
4.620 -1.493 0.000
4.620 1.493 0.000
-1.180 0.000 6.922
ATOMIC_POSITIONS crystal
Cr 0.000 0.000 0.000
As 0.722 0.722 0.032
Se 0.382 0.382 0.739
Se 0.569 0.569 0.291
```

Calculated values
ΔE_f (raw): -0.0936 eV/atom
space group: Cm

Entry 15:
# CrAsSe2

Crystalline CrAsSe2 at its relaxed geometry (PBE, Alexandria). Values from VASP.

Geometry as Quantum ESPRESSO input:
```
&SYSTEM
  ibrav = 0, nat = 4, ntyp = 3
/
ATOMIC_SPECIES
Cr 52.00 Cr.upf
As 74.92 As.upf
Se 78.96 Se.upf
CELL_PARAMETERS angstrom
3.281 0.000 0.000
0.000 3.281 0.000
0.000 0.000 7.404
ATOMIC_POSITIONS crystal
Cr 0.000 0.000 0.000
As 0.500 0.500 0.811
Se 0.000 0.000 0.604
Se 0.500 0.500 0.180
```

Calculated values
ΔE_f (raw): 0.0895 eV/atom
space group: P4mm

Entry 16:
# CrAsSe2

Crystalline CrAsSe2 at its relaxed geometry (PBE, Alexandria). Values from VASP.

Geometry as Quantum ESPRESSO input:
```
&SYSTEM
  ibrav = 0, nat = 4, ntyp = 3
/
ATOMIC_SPECIES
Cr 52.00 Cr.upf
As 74.92 As.upf
Se 78.96 Se.upf
CELL_PARAMETERS angstrom
4.744 0.000 0.000
0.000 4.744 0.000
0.000 0.000 3.345
ATOMIC_POSITIONS crystal
Cr 0.000 0.000 0.000
As 0.500 0.500 0.000
Se 0.000 0.500 0.500
Se 0.500 0.000 0.500
```

Calculated values
ΔE_f (raw): 0.2348 eV/atom
space group: P4/mmm

Entry 17:
# CrAs4Se

Crystalline CrAs4Se at its relaxed geometry (PBE, Alexandria). Values from VASP.

Geometry as Quantum ESPRESSO input:
```
&SYSTEM
  ibrav = 0, nat = 6, ntyp = 3
/
ATOMIC_SPECIES
Cr 52.00 Cr.upf
As 74.92 As.upf
Se 78.96 Se.upf
CELL_PARAMETERS angstrom
0.000 3.926 3.926
3.926 0.000 3.926
3.926 3.926 0.000
ATOMIC_POSITIONS crystal
Cr 0.000 0.000 0.000
As 0.375 0.375 0.375
As 0.375 0.375 0.874
As 0.375 0.874 0.375
As 0.874 0.375 0.375
Se 0.750 0.750 0.750
```

Calculated values
ΔE_f (raw): 0.5807 eV/atom
space group: F-43m

Entry 18:
# CrAsSe2

Crystalline CrAsSe2 at its relaxed geometry (PBE, Alexandria). Values from VASP.

Geometry as Quantum ESPRESSO input:
```
&SYSTEM
  ibrav = 0, nat = 4, ntyp = 3
/
ATOMIC_SPECIES
Cr 52.00 Cr.upf
As 74.92 As.upf
Se 78.96 Se.upf
CELL_PARAMETERS angstrom
3.711 0.000 0.000
0.000 2.314 4.698
0.000 -2.314 4.698
ATOMIC_POSITIONS crystal
Cr 0.000 0.000 0.000
As 0.500 0.820 0.820
Se 0.000 0.499 0.499
Se 0.500 0.185 0.185
```

Calculated values
ΔE_f (raw): -0.1196 eV/atom
space group: Amm2

Entry 19:
# Cr3AsSe

Crystalline Cr3AsSe at its relaxed geometry (PBE, Alexandria). Values from VASP.

Geometry as Quantum ESPRESSO input:
```
&SYSTEM
  ibrav = 0, nat = 5, ntyp = 3
/
ATOMIC_SPECIES
Cr 52.00 Cr.upf
As 74.92 As.upf
Se 78.96 Se.upf
CELL_PARAMETERS angstrom
4.833 0.000 0.000
0.000 4.833 0.000
0.000 0.000 4.833
ATOMIC_POSITIONS crystal
Cr 0.000 0.000 0.500
Cr 0.000 0.500 0.000
Cr 0.500 0.000 0.000
As 0.000 0.000 0.000
Se 0.500 0.500 0.500
```

Calculated values
ΔE_f (raw): 0.6174 eV/atom
space group: Pm-3m

Entry 20:
# CrSiAsSe2

Crystalline CrSiAsSe2 at its relaxed geometry (PBE, Alexandria). Values from VASP.

Geometry as Quantum ESPRESSO input:
```
&SYSTEM
  ibrav = 0, nat = 5, ntyp = 4
/
ATOMIC_SPECIES
Cr 52.00 Cr.upf
Si 28.09 Si.upf
As 74.92 As.upf
Se 78.96 Se.upf
CELL_PARAMETERS angstrom
4.829 0.000 0.000
0.000 4.829 0.000
0.000 0.000 4.701
ATOMIC_POSITIONS crystal
Cr 0.000 0.000 0.000
Si 0.500 0.500 0.500
As 0.000 0.000 0.500
Se 0.000 0.500 0.000
Se 0.500 0.000 0.000
```

Calculated values
ΔE_f (raw): 0.5285 eV/atom
space group: P4/mmm